Computed, not measured: an optimized crystal structure of BeAlO2F at the PBE-GGA level of DFT. Values from VASP.

Results
Space-group type: P4/mmm, No. 123
ΔE_f (raw) (meV/atom): -1794

```
&SYSTEM
  ibrav = 0, nat = 5, ntyp = 4
/
ATOMIC_SPECIES
Be 9.01 Be.upf
Al 26.98 Al.upf
O 16.00 O.upf
F 19.00 F.upf
CELL_PARAMETERS angstrom
3.6951 0.0000 0.0000
0.0000 3.6951 0.0000
0.0000 0.0000 3.4761
ATOMIC_POSITIONS angstrom
Be 0.0000 0.0000 0.0000
Al 1.8476 1.8476 1.7381
O 0.0000 1.8476 1.7381
O 1.8476 0.0000 1.7381
F 1.8476 1.8476 0.0000
```

***

Computed, not measured: an optimized crystal structure of PaCuNi2 at the PBE-GGA level of DFT. Values from VASP.

Results
Space-group type: Fm-3m, No. 225
DFT formation energy (eV per formula unit): -0.651
Relative energy among the computed polymorphs (meV/atom): 146

```
&SYSTEM
  ibrav = 0, nat = 16, ntyp = 3
/
ATOMIC_SPECIES
Pa 231.04 Pa.upf
Cu 63.55 Cu.upf
Ni 58.69 Ni.upf
CELL_PARAMETERS angstrom
6.2919 0.0000 0.0000
0.0000 6.2919 0.0000
0.0000 0.0000 6.2919
ATOMIC_POSITIONS angstrom
Pa 0.0000 0.0000 0.0000
Pa 0.0000 3.1460 3.1460
Pa 3.1460 0.0000 3.1460
Pa 3.1460 3.1460 0.0000
Cu 0.0000 0.0000 3.1460
Cu 0.0000 3.1460 0.0000
Cu 3.1460 0.0000 0.0000
Cu 3.1460 3.1460 3.1460
Ni 1.5730 1.5730 1.5730
Ni 1.5730 1.5730 4.7189
Ni 1.5730 4.7189 1.5730
Ni 1.5730 4.7189 4.7189
Ni 4.7189 1.5730 1.5730
Ni 4.7189 1.5730 4.7189
Ni 4.7189 4.7189 1.5730
Ni 4.7189 4.7189 4.7189
```

***

Computed, not measured: an optimized crystal structure of Dy3SbO3 at the PBE-GGA level of DFT. Values from VASP.

Results
Space-group type: C2/m, No. 12
ΔE_f (raw) (meV/atom): -2858
Relative energy among the computed polymorphs (meV/atom): 0

```
&SYSTEM
  ibrav = 0, nat = 14, ntyp = 3
/
ATOMIC_SPECIES
Dy 162.50 Dy.upf
Sb 121.76 Sb.upf
O 16.00 O.upf
CELL_PARAMETERS angstrom
6.5652 -1.9368 0.0000
6.5652 1.9368 0.0000
-5.5973 0.0000 10.3342
ATOMIC_POSITIONS angstrom
Dy -0.8917 0.0000 4.5683
Dy -3.3525 0.0000 9.3037
Dy 0.0690 0.0000 8.1971
Dy 7.4642 0.0000 2.1372
Dy 10.8856 0.0000 1.0305
Dy 8.4249 0.0000 5.7660
Sb 3.2188 0.0000 3.3097
Sb 4.3143 0.0000 7.0245
O -0.2498 0.0000 1.9955
O 0.7702 0.0000 6.1091
O -1.0965 0.0000 10.1935
O 8.6297 0.0000 0.1408
O 6.7629 0.0000 4.2252
O 7.7830 0.0000 8.3388
```

***

Computed, not measured: an optimized crystal structure of CeCoSi2Tc at the PBE-GGA level of DFT. Values from VASP.

Results
Space-group type: I-4m2, No. 119
ΔE_f (raw) (meV/atom): -693

```
&SYSTEM
  ibrav = 0, nat = 10, ntyp = 4
/
ATOMIC_SPECIES
Ce 140.12 Ce.upf
Co 58.93 Co.upf
Si 28.09 Si.upf
Tc 98.00 Tc.upf
CELL_PARAMETERS angstrom
4.1202 0.0000 0.0000
0.0000 4.1202 0.0000
0.0000 0.0000 9.7052
ATOMIC_POSITIONS angstrom
Ce 0.0000 0.0000 0.0000
Ce 2.0601 2.0601 4.8526
Co 0.0000 2.0601 7.2789
Co 2.0601 0.0000 2.4263
Si 0.0000 0.0000 3.5822
Si 0.0000 0.0000 6.1231
Si 2.0601 2.0601 1.2705
Si 2.0601 2.0601 8.4348
Tc 0.0000 2.0601 2.4263
Tc 2.0601 0.0000 7.2789
```

***

Computed, not measured: an optimized crystal structure of Sr3TlOs at the PBE-GGA level of DFT. Values from VASP.

Results
Space-group type: Pm-3m, No. 221
DFT formation energy (eV per formula unit): 1.703
Relative energy among the computed polymorphs (meV/atom): 0

```
&SYSTEM
  ibrav = 0, nat = 5, ntyp = 3
/
ATOMIC_SPECIES
Sr 87.62 Sr.upf
Tl 204.38 Tl.upf
Os 190.23 Os.upf
CELL_PARAMETERS angstrom
5.8097 0.0000 0.0000
0.0000 5.8097 0.0000
0.0000 0.0000 5.8097
ATOMIC_POSITIONS angstrom
Sr 0.0000 0.0000 2.9048
Sr 0.0000 2.9048 0.0000
Sr 2.9048 0.0000 0.0000
Tl 2.9048 2.9048 2.9048
Os 0.0000 0.0000 0.0000
```

***

Computed, not measured: an optimized crystal structure of Zr2CdRu at the PBE-GGA level of DFT. Values from VASP.

Results
Space-group type: Pm, No. 6
DFT formation energy (eV per formula unit): -0.717

```
&SYSTEM
  ibrav = 0, nat = 4, ntyp = 3
/
ATOMIC_SPECIES
Zr 91.22 Zr.upf
Cd 112.41 Cd.upf
Ru 101.07 Ru.upf
CELL_PARAMETERS angstrom
3.2924 0.0000 0.0000
0.0000 4.5157 0.0000
-1.6093 0.0000 5.4417
ATOMIC_POSITIONS angstrom
Zr 0.0000 0.0000 0.0000
Zr 0.0024 2.2579 3.5040
Cd 1.6465 2.2579 1.0341
Ru 1.6422 0.0000 2.8890
```

***

Computed, not measured: an optimized crystal structure of Rb2ZrSb2O6 at the PBE-GGA level of DFT. Values from VASP.

Results
Space-group type: C2/m, No. 12
ΔE_f (raw) (meV/atom): -1972

```
&SYSTEM
  ibrav = 0, nat = 11, ntyp = 4
/
ATOMIC_SPECIES
Rb 85.47 Rb.upf
Zr 91.22 Zr.upf
Sb 121.76 Sb.upf
O 16.00 O.upf
CELL_PARAMETERS angstrom
5.2244 -3.0145 0.0000
5.2244 3.0145 0.0000
-0.6718 0.0000 7.6512
ATOMIC_POSITIONS angstrom
Rb 1.7429 0.0000 1.3734
Rb 8.0341 0.0000 6.2778
Zr 5.2244 0.0000 0.0000
Sb 1.0692 0.0000 5.4927
Sb 8.7077 0.0000 2.1585
O 4.3447 1.5325 1.1942
O 2.7782 0.0000 6.4712
O 5.4323 1.5325 6.4570
O 4.3447 -1.5325 1.1942
O 6.9987 0.0000 1.1800
O 5.4323 -1.5325 6.4570
```

***

Computed, not measured: an optimized crystal structure of LiGe3Ir at the PBE-GGA level of DFT. Values from VASP.

Results
Space-group type: Pm-3m, No. 221
DFT formation energy (eV per formula unit): 1.550
Relative energy among the computed polymorphs (meV/atom): 460

```
&SYSTEM
  ibrav = 0, nat = 5, ntyp = 3
/
ATOMIC_SPECIES
Li 6.94 Li.upf
Ge 72.64 Ge.upf
Ir 192.22 Ir.upf
CELL_PARAMETERS angstrom
4.8732 0.0000 0.0000
0.0000 4.8732 0.0000
0.0000 0.0000 4.8732
ATOMIC_POSITIONS angstrom
Li 0.0000 0.0000 0.0000
Ge 0.0000 2.4366 2.4366
Ge 2.4366 0.0000 2.4366
Ge 2.4366 2.4366 0.0000
Ir 2.4366 2.4366 2.4366
```

***

Computed, not measured: an optimized crystal structure of YSbPt2 at the PBE-GGA level of DFT. Values from VASP.

Results
Space-group type: I-42d, No. 122
ΔE_f (raw) (meV/atom): -553

```
&SYSTEM
  ibrav = 0, nat = 16, ntyp = 3
/
ATOMIC_SPECIES
Y 88.91 Y.upf
Sb 121.76 Sb.upf
Pt 195.08 Pt.upf
CELL_PARAMETERS angstrom
4.8198 0.0000 0.0000
0.0000 4.8198 0.0000
0.0000 0.0000 16.9997
ATOMIC_POSITIONS angstrom
Y 0.0000 0.0000 0.0000
Y 0.0000 2.4099 4.2499
Y 2.4099 0.0000 12.7497
Y 2.4099 2.4099 8.4998
Sb 0.0000 0.0000 8.4998
Sb 0.0000 2.4099 12.7497
Sb 2.4099 0.0000 4.2499
Sb 2.4099 2.4099 0.0000
Pt 0.8829 1.2050 10.6248
Pt 1.2050 3.2928 14.8747
Pt 1.2050 3.9369 6.3749
Pt 1.5270 1.2050 2.1250
Pt 3.2928 3.6149 2.1250
Pt 3.6149 0.8829 6.3749
Pt 3.6149 1.5270 14.8747
Pt 3.9369 3.6149 10.6248
```

***

Computed, not measured: an optimized crystal structure of SiIrSe2 at the PBE-GGA level of DFT. Values from VASP.

Results
Space-group type: Cmmm, No. 65
ΔE_f (raw) (meV/atom): 599

```
&SYSTEM
  ibrav = 0, nat = 8, ntyp = 3
/
ATOMIC_SPECIES
Si 28.09 Si.upf
Ir 192.22 Ir.upf
Se 78.96 Se.upf
CELL_PARAMETERS angstrom
2.8899 0.0000 0.0000
0.0000 5.3128 0.0000
0.0000 0.0000 9.3354
ATOMIC_POSITIONS angstrom
Si 0.0000 0.0000 0.0000
Si 1.4450 2.6564 0.0000
Ir 0.0000 0.0000 4.6677
Ir 1.4450 2.6564 4.6677
Se 0.0000 2.6564 2.5371
Se 0.0000 2.6564 6.7983
Se 1.4450 0.0000 2.5371
Se 1.4450 0.0000 6.7983
```

***

Computed, not measured: an optimized crystal structure of La2InPPd at the PBE-GGA level of DFT. Values from VASP.

Results
Space-group type: P4/mmm, No. 123
DFT formation energy (eV per formula unit): 1.920

```
&SYSTEM
  ibrav = 0, nat = 5, ntyp = 4
/
ATOMIC_SPECIES
La 138.91 La.upf
In 114.82 In.upf
P 30.97 P.upf
Pd 106.42 Pd.upf
CELL_PARAMETERS angstrom
5.9759 0.0000 0.0000
0.0000 5.9759 0.0000
0.0000 0.0000 4.7245
ATOMIC_POSITIONS angstrom
La 0.0000 2.9879 0.0000
La 2.9879 0.0000 0.0000
In 0.0000 0.0000 0.0000
P 0.0000 0.0000 2.3623
Pd 2.9879 2.9879 2.3623
```

***

Computed, not measured: an optimized crystal structure of Cs4Pr3DySe8 at the PBE-GGA level of DFT. Values from VASP.

Results
Space-group type: R-3m, No. 166
ΔE_f (raw) (meV/atom): -1724

```
&SYSTEM
  ibrav = 0, nat = 16, ntyp = 4
/
ATOMIC_SPECIES
Cs 132.91 Cs.upf
Pr 140.91 Pr.upf
Dy 162.50 Dy.upf
Se 78.96 Se.upf
CELL_PARAMETERS angstrom
4.3940 2.5369 8.4094
-4.3940 2.5369 8.4094
0.0000 -5.0737 8.4094
ATOMIC_POSITIONS angstrom
Cs 0.0000 0.0000 0.0000
Cs -2.1970 -1.2684 8.4094
Cs -2.1970 1.2684 16.8189
Cs 0.0000 2.5369 8.4094
Pr -4.3940 0.0000 12.6142
Pr -2.1970 1.2684 4.2047
Pr 2.1970 1.2684 4.2047
Dy 0.0000 0.0000 12.6142
Se 0.0000 0.0000 5.8267
Se -2.1393 -1.2351 14.2041
Se 0.0000 -2.4703 11.0243
Se -2.1393 1.2351 11.0243
Se 2.1393 -1.2351 14.2041
Se 0.0000 2.4703 14.2041
Se 2.1393 1.2351 11.0243
Se 0.0000 0.0000 19.4017
```

***

Computed, not measured: an optimized crystal structure of CeMg5Ir2 at the PBE-GGA level of DFT. Values from VASP.

Results
Space-group type: Immm, No. 71
DFT formation energy (eV per formula unit): -3.015

```
&SYSTEM
  ibrav = 0, nat = 16, ntyp = 3
/
ATOMIC_SPECIES
Ce 140.12 Ce.upf
Mg 24.30 Mg.upf
Ir 192.22 Ir.upf
CELL_PARAMETERS angstrom
4.0932 0.0000 0.0000
0.0000 8.4423 0.0000
0.0000 0.0000 9.5634
ATOMIC_POSITIONS angstrom
Ce 0.0000 0.0000 0.0000
Ce 2.0466 4.2212 4.7817
Mg 0.0000 1.5253 3.1850
Mg 0.0000 1.5253 6.3784
Mg 0.0000 4.2212 0.0000
Mg 0.0000 6.9170 3.1850
Mg 0.0000 6.9170 6.3784
Mg 2.0466 0.0000 4.7817
Mg 2.0466 2.6959 1.5967
Mg 2.0466 2.6959 7.9668
Mg 2.0466 5.7464 1.5967
Mg 2.0466 5.7464 7.9668
Ir 0.0000 4.2212 2.7310
Ir 0.0000 4.2212 6.8324
Ir 2.0466 0.0000 2.0507
Ir 2.0466 0.0000 7.5128
```